Entry from the Alexandria database: a geometry-optimized WN2F structure (PBE+U).

Cell: 3.0824 3.0824 17.5401 Å, 90.00 90.00 120.00°
With the nearest neighbours (Å) after each atom.
Space group R-3m (No. 166, hexagonal axes)
Inequivalent atoms, fractional coordinates:
W  0.0000  0.0000  0.0000 (multiplicity 3)  6 N 2.07
N  0.0000  0.0000  0.3938 (multiplicity 6)  1 F 1.86, 3 W 2.07
F  0.0000  0.0000  0.5000 (multiplicity 3)  2 N 1.86

Output
V (Å³/cell): 144
Density of states at the Fermi level (states/eV/cell): 4.391
Total DFT energy (no corrections) (eV per atom): -6.19
Spin magnetization (μB/f.u.): 0.00